[1]
PmY4Sc3 | PBE | optimized geometry

Results
E, eV/atom: -5.764
ρ, g/cm3: 4.325
ΔH_f (0 K), eV per atom: 0.437
Polymorph energy (0 for the lowest one), kJ/mol of formula units: 193.2

Cell: 8.5983 8.5983 3.3203 Å, 90.00 90.00 96.36°
Closest atoms and distances in Å follow each position.
Positions (direct):
1 Pm 0.0000 0.0000 0.0000  2 Pm 3.32, 6 Y 3.35-3.42
2 Y 0.2607 0.2607 0.5000  4 Sc 3.21, 2 Y 3.32, 2 Pm 3.42
3 Y 0.2611 0.7389 0.0000  5 Sc 3.06-3.32, 2 Y 3.32, 1 Pm 3.35
4 Y 0.7389 0.2611 0.0000  5 Sc 3.06-3.32, 2 Y 3.32, 1 Pm 3.35
5 Y 0.7393 0.7393 0.5000  4 Sc 3.21, 2 Y 3.32, 2 Pm 3.42
6 Sc 0.0000 0.5000 0.5000  6 Y 3.21-3.32, 2 Sc 3.32
7 Sc 0.5000 0.0000 0.5000  6 Y 3.21-3.32, 2 Sc 3.32
8 Sc 0.5000 0.5000 0.0000  6 Y 3.06-3.21, 2 Sc 3.32

***

[2]
PmYSc2 | PBE | optimized geometry

Results
E, eV/atom: -5.889
ρ, g/cm3: 4.678
ΔH_f (0 K), eV per atom: 0.081
Polymorph energy (0 for the lowest one), kJ/mol of formula units: 10.5

Cell: 3.9024 3.9024 7.5472 Å, 90.00 90.00 90.00°
Closest atoms and distances in Å follow each position.
Positions (direct):
1 Pm 0.0000 0.0000 0.0000  8 Sc 3.36
2 Y 0.0000 0.0000 0.5000  8 Sc 3.33
3 Sc 0.5000 0.5000 0.2535  4 Y 3.33, 4 Pm 3.36, 1 Sc 3.72
4 Sc 0.5000 0.5000 0.7465  4 Y 3.33, 4 Pm 3.36, 1 Sc 3.72

***

[3]
Pm7Y3Sc | PBE | optimized geometry

Results
E, eV/atom: -5.167
ρ, g/cm3: 5.768
ΔH_f (0 K), eV per atom: 0.194
Polymorph energy (0 for the lowest one), kJ/mol of formula units: 7.6

Cell: 10.1981 10.1981 12.6551 Å, 115.20 115.20 40.65°
Closest atoms and distances in Å follow each position.
Positions (direct):
1 Pm 0.0009 0.9991 0.5000  4 Y 3.39-3.58, 7 Pm 3.56-3.75
2 Pm 0.1735 0.5147 0.9741  2 Sc 3.39, 2 Y 3.43-3.44, 4 Pm 3.54-3.69
3 Pm 0.2660 0.7511 0.7474  6 Pm 3.45-3.75, 1 Sc 3.47, 4 Y 3.51-3.70
4 Pm 0.2667 0.7550 0.2505  7 Pm 3.45-3.72, 4 Y 3.47-3.73, 1 Sc 3.51
5 Pm 0.4207 0.9396 0.7029  6 Pm 3.45-3.77, 1 Sc 3.48, 4 Y 3.50-3.69
6 Pm 0.4247 0.9306 0.1983  7 Pm 3.45-3.69, 4 Y 3.47-3.73, 1 Sc 3.51
7 Pm 0.5147 0.1735 0.4741  2 Sc 3.39, 2 Y 3.43-3.44, 4 Pm 3.54-3.69
8 Pm 0.6862 0.6923 0.9506  4 Y 3.40-3.57, 7 Pm 3.56-3.77
9 Pm 0.6923 0.6862 0.4506  4 Y 3.40-3.57, 7 Pm 3.56-3.77
10 Pm 0.7511 0.2660 0.2474  6 Pm 3.45-3.75, 1 Sc 3.47, 4 Y 3.51-3.70
11 Pm 0.7550 0.2667 0.7505  7 Pm 3.45-3.72, 4 Y 3.47-3.73, 1 Sc 3.51
12 Pm 0.9306 0.4247 0.6983  7 Pm 3.45-3.69, 4 Y 3.47-3.73, 1 Sc 3.51
13 Pm 0.9396 0.4207 0.2029  6 Pm 3.45-3.77, 1 Sc 3.48, 4 Y 3.50-3.69
14 Pm 0.9991 0.0009 0.0000  4 Y 3.39-3.58, 7 Pm 3.56-3.75
15 Y 0.1686 0.1717 0.9540  10 Pm 3.44-3.73, 1 Sc 3.52
16 Y 0.1717 0.1686 0.4540  10 Pm 3.44-3.73, 1 Sc 3.52
17 Y 0.5167 0.5189 0.4948  10 Pm 3.43-3.73, 1 Sc 3.53
18 Y 0.5189 0.5167 0.9948  10 Pm 3.43-3.73, 1 Sc 3.53
19 Y 0.8415 0.8478 0.7257  6 Pm 3.39-3.55, 2 Sc 3.54-3.55
20 Y 0.8478 0.8415 0.2257  6 Pm 3.39-3.55, 2 Sc 3.54-3.55
21 Sc 0.3416 0.3467 0.7236  6 Pm 3.39-3.51, 4 Y 3.52-3.55
22 Sc 0.3467 0.3416 0.2236  6 Pm 3.39-3.51, 4 Y 3.52-3.55

***

[4]
Pm2Y3Sc3 | PBE | optimized geometry

Results
E, eV/atom: -5.928
ρ, g/cm3: 4.829
ΔH_f (0 K), eV per atom: 0.058

Cell: 10.4574 10.4574 10.4574 Å, 153.13 152.56 38.79°
Closest atoms and distances in Å follow each position.
Positions (direct):
1 Pm 0.2488 0.2488 0.0000  4 Pm 3.47, 4 Sc 3.48-3.55, 4 Y 3.54
2 Pm 0.7512 0.7512 0.0000  4 Pm 3.47, 4 Sc 3.48-3.55, 4 Y 3.54
3 Y 0.0000 0.0000 0.0000  8 Sc 3.42-3.47, 4 Y 3.44
4 Y 0.3792 0.8792 0.5000  6 Sc 3.40-3.47, 2 Y 3.44, 4 Pm 3.54
5 Y 0.6208 0.1208 0.5000  6 Sc 3.40-3.47, 2 Y 3.44, 4 Pm 3.54
6 Sc 0.1223 0.6223 0.5000  6 Y 3.42-3.47, 2 Sc 3.46, 4 Pm 3.48-3.55
7 Sc 0.5000 0.5000 0.0000  8 Y 3.40-3.47, 4 Sc 3.46
8 Sc 0.8777 0.3777 0.5000  6 Y 3.42-3.47, 2 Sc 3.46, 4 Pm 3.48-3.55

***

[5]
Pm4Y10Sc | PBE | optimized geometry

Results
E, eV/atom: -5.741
ρ, g/cm3: 5.007
ΔH_f (0 K), eV per atom: 0.258

Cell: 8.9613 8.9613 8.9613 Å, 100.47 100.47 129.53°
Closest atoms and distances in Å follow each position.
Positions (direct):
1 Pm 0.2319 0.2319 0.4638  8 Y 3.44-3.56, 1 Sc 3.76
2 Pm 0.2319 0.7681 0.0000  8 Y 3.44-3.56, 1 Sc 3.76
3 Pm 0.7681 0.2319 0.0000  8 Y 3.44-3.56, 1 Sc 3.76
4 Pm 0.7681 0.7681 0.5362  8 Y 3.44-3.56, 1 Sc 3.76
5 Y 0.0742 0.2828 0.7914  1 Sc 3.22, 4 Y 3.32-3.38, 4 Pm 3.44-3.56
6 Y 0.2500 0.7500 0.5000  4 Y 3.35
7 Y 0.2828 0.0742 0.7914  1 Sc 3.22, 4 Y 3.32-3.38, 4 Pm 3.44-3.56
8 Y 0.2828 0.4914 0.2086  1 Sc 3.22, 4 Y 3.32-3.38, 4 Pm 3.44-3.56
9 Y 0.4914 0.2828 0.2086  1 Sc 3.22, 4 Y 3.32-3.38, 4 Pm 3.44-3.56
10 Y 0.5086 0.7172 0.7914  1 Sc 3.22, 4 Y 3.32-3.38, 4 Pm 3.44-3.56
11 Y 0.7172 0.5086 0.7914  1 Sc 3.22, 4 Y 3.32-3.38, 4 Pm 3.44-3.56
12 Y 0.7172 0.9258 0.2086  1 Sc 3.22, 4 Y 3.32-3.38, 4 Pm 3.44-3.56
13 Y 0.7500 0.2500 0.5000  4 Y 3.35
14 Y 0.9258 0.7172 0.2086  1 Sc 3.22, 4 Y 3.32-3.38, 4 Pm 3.44-3.56
15 Sc 0.0000 0.0000 0.0000  8 Y 3.22

***

[6]
Pm3Y8Sc2 | PBE | optimized geometry

Results
E, eV/atom: -5.917
ρ, g/cm3: 4.867
ΔH_f (0 K), eV per atom: 0.132
Polymorph energy (0 for the lowest one), kJ/mol of formula units: 0.0

Cell: 8.0382 5.2199 10.3976 Å, 90.00 104.81 90.00°
Closest atoms and distances in Å follow each position.
Positions (direct):
1 Pm 0.0000 0.0000 0.0000  4 Pm 3.62, 8 Y 3.63-3.68
2 Pm 0.2755 0.5000 0.9296  3 Pm 3.53-3.62, 9 Y 3.55-3.74
3 Pm 0.7245 0.5000 0.0704  3 Pm 3.53-3.62, 9 Y 3.55-3.74
4 Y 0.0981 0.0000 0.6730  2 Sc 3.31-3.60, 6 Y 3.53-3.64, 1 Pm 3.68
5 Y 0.1700 0.5000 0.2410  2 Sc 3.26, 4 Pm 3.55-3.63, 2 Y 3.64
6 Y 0.3670 0.5000 0.6071  2 Sc 3.23, 5 Y 3.46-3.61, 1 Pm 3.61
7 Y 0.4618 0.0000 0.1565  1 Sc 3.17, 2 Y 3.46-3.53
8 Y 0.5382 0.0000 0.8435  1 Sc 3.17, 2 Y 3.46-3.53
9 Y 0.6330 0.5000 0.3929  2 Sc 3.23, 5 Y 3.46-3.61, 1 Pm 3.61
10 Y 0.8300 0.5000 0.7590  2 Sc 3.26, 4 Pm 3.55-3.63, 2 Y 3.64
11 Y 0.9019 0.0000 0.3270  2 Sc 3.31-3.60, 6 Y 3.53-3.64, 1 Pm 3.68
12 Sc 0.3282 0.0000 0.4183  1 Sc 2.85, 1 Y 3.17
13 Sc 0.6718 0.0000 0.5817  1 Sc 2.85, 1 Y 3.17

***

[7]
Pm8YSc5 | PBE | optimized geometry

Results
E, eV/atom: -5.240
ρ, g/cm3: 5.590
ΔH_f (0 K), eV per atom: 0.198

Cell: 8.1770 8.2464 8.5058 Å, 99.06 113.02 115.59°
Closest atoms and distances in Å follow each position.
Positions (direct):
1 Pm 0.0000 0.0000 0.0000  2 Pm 3.11-3.42, 1 Y 3.28, 3 Sc 3.34-3.47
2 Pm 0.0030 0.6052 0.5674  4 Sc 3.08-3.40, 1 Pm 3.36, 1 Y 3.40
3 Pm 0.1128 0.2050 0.5066  4 Sc 3.28-3.60, 3 Pm 3.38-3.64
4 Pm 0.2395 0.4901 0.9574  5 Pm 3.27-3.64, 2 Sc 3.32-3.41
5 Pm 0.4559 0.3263 0.3210  3 Pm 3.11-3.46, 1 Sc 3.27, 1 Y 3.32
6 Pm 0.5973 0.0041 0.1932  5 Sc 3.30-3.58, 3 Pm 3.38-3.55
7 Pm 0.7212 0.1487 0.7110  5 Sc 3.04-3.36, 1 Y 3.06, 1 Pm 3.34
8 Pm 0.7371 0.6295 0.1648  1 Y 3.16, 3 Sc 3.23-3.28, 3 Pm 3.27-3.43
9 Y 0.7183 0.5229 0.7820  5 Pm 3.06-3.40, 1 Sc 3.21
10 Sc 0.2555 0.8704 0.3785  3 Pm 3.12-3.38, 1 Sc 3.31
11 Sc 0.3786 0.1170 0.8484  6 Pm 3.28-3.64, 1 Sc 3.55, 1 Y 3.61
12 Sc 0.4727 0.7434 0.7466  4 Pm 3.08-3.41, 1 Y 3.21, 1 Sc 3.24
13 Sc 0.7219 0.8036 0.5229  4 Pm 3.04-3.30, 1 Sc 3.24
14 Sc 0.9637 0.3873 0.1689  7 Pm 3.25-3.49, 1 Sc 3.31

***

[8]
Pm5Y6Sc | PBE | optimized geometry

Results
E, eV/atom: -5.708
ρ, g/cm3: 5.562
ΔH_f (0 K), eV per atom: 0.031

Cell: 9.4742 9.4742 9.4742 Å, 149.00 115.54 73.24°
Closest atoms and distances in Å follow each position.
Positions (direct):
1 Pm 0.0000 0.0000 0.0000  4 Pm 3.58, 8 Y 3.59-3.61
2 Pm 0.1660 0.6660 0.5000  4 Pm 3.58-3.62, 8 Y 3.58-3.61
3 Pm 0.3360 0.3360 0.0000  8 Y 3.51-3.64, 2 Sc 3.55, 2 Pm 3.62
4 Pm 0.6640 0.6640 0.0000  8 Y 3.51-3.64, 2 Sc 3.55, 2 Pm 3.62
5 Pm 0.8340 0.3340 0.5000  4 Pm 3.58-3.62, 8 Y 3.58-3.61
6 Y 0.0877 0.8347 0.2530  1 Sc 3.54, 7 Pm 3.56-3.64, 4 Y 3.57-3.61
7 Y 0.2551 0.5000 0.7551  6 Pm 3.51-3.61, 2 Sc 3.54, 4 Y 3.57
8 Y 0.4184 0.1653 0.2530  1 Sc 3.54, 7 Pm 3.56-3.64, 4 Y 3.57-3.61
9 Y 0.5816 0.8347 0.7470  1 Sc 3.54, 7 Pm 3.56-3.64, 4 Y 3.57-3.61
10 Y 0.7449 0.5000 0.2449  6 Pm 3.51-3.61, 2 Sc 3.54, 4 Y 3.57
11 Y 0.9123 0.1653 0.7470  1 Sc 3.54, 7 Pm 3.56-3.64, 4 Y 3.57-3.61
12 Sc 0.5000 0.0000 0.5000  8 Y 3.54, 4 Pm 3.55

***

[9]
Pm2YSc5 | PBE | optimized geometry

Results
E, eV/atom: -5.886
ρ, g/cm3: 4.528
ΔH_f (0 K), eV per atom: 0.067

Cell: 6.7484 6.7484 6.7484 Å, 118.71 118.71 92.26°
Closest atoms and distances in Å follow each position.
Positions (direct):
1 Pm 0.0000 0.5000 0.5000  10 Sc 3.37-3.44, 2 Y 3.44
2 Pm 0.5000 0.0000 0.5000  10 Sc 3.37-3.44, 2 Y 3.44
3 Y 0.0000 0.0000 0.0000  8 Sc 3.37, 4 Pm 3.44
4 Sc 0.0000 0.0000 0.5000  6 Sc 3.37-3.44, 4 Pm 3.37, 2 Y 3.37
5 Sc 0.0000 0.5000 0.0000  6 Sc 3.37-3.44, 4 Pm 3.37, 2 Y 3.37
6 Sc 0.5000 0.0000 0.0000  6 Sc 3.37-3.44, 4 Pm 3.37, 2 Y 3.37
7 Sc 0.5000 0.5000 0.0000  8 Sc 3.37, 4 Pm 3.44
8 Sc 0.5000 0.5000 0.5000  6 Sc 3.37-3.44, 4 Pm 3.37, 2 Y 3.37

***

[10]
Pm2YSc6 | PBE | optimized geometry

Results
E, eV/atom: -5.925
ρ, g/cm3: 4.376
ΔH_f (0 K), eV per atom: 0.069

Cell: 9.2753 9.2753 3.3036 Å, 90.00 90.00 120.00°
Closest atoms and distances in Å follow each position.
Positions (direct):
1 Pm 0.3333 0.6667 0.0000  2 Pm 3.30, 12 Sc 3.51
2 Pm 0.6667 0.3333 0.0000  2 Pm 3.30, 12 Sc 3.51
3 Y 0.0000 0.0000 0.0000  2 Y 3.30, 12 Sc 3.49
4 Sc 0.0000 0.3320 0.5000  5 Sc 3.08-3.30
5 Sc 0.0000 0.6680 0.5000  5 Sc 3.08-3.30
6 Sc 0.3320 0.0000 0.5000  5 Sc 3.08-3.30
7 Sc 0.3320 0.3320 0.5000  5 Sc 3.08-3.30
8 Sc 0.6680 0.0000 0.5000  5 Sc 3.08-3.30
9 Sc 0.6680 0.6680 0.5000  5 Sc 3.08-3.30

***

[11]
PmY3Sc | PBE | optimized geometry

Results
E, eV/atom: -6.022
ρ, g/cm3: 4.831
ΔH_f (0 K), eV per atom: 0.072
Polymorph energy (0 for the lowest one), kJ/mol of formula units: 21.9

Cell: 10.9902 10.9902 6.5421 Å, 93.77 93.77 52.82°
Closest atoms and distances in Å follow each position.
Positions (direct):
1 Pm 0.1049 0.8951 0.7500  3 Pm 3.43-3.55, 8 Y 3.59-3.79
2 Pm 0.2462 0.7538 0.2500  8 Y 3.42-3.78, 3 Pm 3.43-3.55
3 Pm 0.7538 0.2462 0.7500  8 Y 3.42-3.78, 3 Pm 3.43-3.55
4 Pm 0.8951 0.1049 0.2500  3 Pm 3.43-3.55, 8 Y 3.59-3.79
5 Y 0.0481 0.2512 0.5970  3 Sc 3.31-3.51, 2 Pm 3.48-3.59, 3 Y 3.50-3.71
6 Y 0.0899 0.5803 0.9159  3 Sc 3.26-3.39, 5 Y 3.37-3.60
7 Y 0.2512 0.0481 0.0970  3 Sc 3.31-3.51, 2 Pm 3.48-3.59, 3 Y 3.50-3.71
8 Y 0.3681 0.4801 0.5986  2 Sc 3.20-3.45, 5 Y 3.37-3.51, 2 Pm 3.42-3.49
9 Y 0.4197 0.9101 0.5841  3 Sc 3.26-3.39, 5 Y 3.37-3.60
10 Y 0.4801 0.3681 0.0986  2 Sc 3.20-3.45, 5 Y 3.37-3.51, 2 Pm 3.42-3.49
11 Y 0.5199 0.6319 0.9014  2 Sc 3.20-3.45, 5 Y 3.37-3.51, 2 Pm 3.42-3.49
12 Y 0.5803 0.0899 0.4159  3 Sc 3.26-3.39, 5 Y 3.37-3.60
13 Y 0.6319 0.5199 0.4014  2 Sc 3.20-3.45, 5 Y 3.37-3.51, 2 Pm 3.42-3.49
14 Y 0.7488 0.9519 0.9030  3 Sc 3.31-3.51, 2 Pm 3.48-3.59, 3 Y 3.50-3.71
15 Y 0.9101 0.4197 0.0841  3 Sc 3.26-3.39, 5 Y 3.37-3.60
16 Y 0.9519 0.7488 0.4030  3 Sc 3.31-3.51, 2 Pm 3.48-3.59, 3 Y 3.50-3.71
17 Sc 0.2149 0.3516 0.3216  8 Y 3.20-3.51, 2 Sc 3.53
18 Sc 0.3516 0.2149 0.8216  8 Y 3.20-3.51, 2 Sc 3.53
19 Sc 0.6484 0.7851 0.1784  8 Y 3.20-3.51, 2 Sc 3.53
20 Sc 0.7851 0.6484 0.6784  8 Y 3.20-3.51, 2 Sc 3.53

***

[12]
PmYSc2 | PBE | optimized geometry

Results
E, eV/atom: -5.901
ρ, g/cm3: 4.710
ΔH_f (0 K), eV per atom: 0.068
Polymorph energy (0 for the lowest one), kJ/mol of formula units: 5.8

Cell: 11.2099 11.2099 11.2099 Å, 17.74 17.74 17.74°
Closest atoms and distances in Å follow each position.
Positions (direct):
1 Pm 0.0000 0.0000 0.0000  6 Sc 3.41, 6 Pm 3.46
2 Y 0.5000 0.5000 0.5000  6 Sc 3.39, 6 Y 3.46
3 Sc 0.2496 0.2496 0.2496  3 Y 3.39, 3 Pm 3.41, 6 Sc 3.46
4 Sc 0.7504 0.7504 0.7504  3 Y 3.39, 3 Pm 3.41, 6 Sc 3.46